Entry 1:
This record from Alexandria via LeMat-Bulk describes a relaxed AlSe2N crystal. The functional is GGA-PBE.

a b c (Å): 6.7994 6.7994 6.7994
angles (deg): 32.98 32.98 32.98
Positions (direct):
Al  0.0000  0.0000  0.0000
Se  0.4066  0.4066  0.4066
Se  0.5934  0.5934  0.5934
N  0.5000  0.5000  0.5000

Properties
The calculation puts the uncorrected formation energy at 0.55 eV/atom. The total magnetic moment is 0.00 μB per atom. For the density of states at the Fermi level, the calculation gives 1.0 states/eV per cell. The distance to the lowest polymorph of the same formula is 0.00 eV/f.u. The space-group type is R-3m.


Entry 2:
This record from Alexandria via LeMat-Bulk describes a relaxed KSb4Pb6 crystal. The functional is GGA-PBE.

a b c (Å): 9.6676 9.6676 4.6549
angles (deg): 90.00 90.00 120.00
Positions (direct):
K  0.0000  0.0000  0.0000
Sb  0.3333  0.6667  0.0000
Sb  0.3557  0.1779  0.5000
Sb  0.8221  0.1779  0.5000
Sb  0.8221  0.6443  0.5000
Pb  0.1939  0.3879  0.5000
Pb  0.1939  0.8061  0.5000
Pb  0.5463  0.0925  0.0000
Pb  0.5463  0.4537  0.0000
Pb  0.6121  0.8061  0.5000
Pb  0.9075  0.4537  0.0000

Properties
The calculation puts the uncorrected formation energy at -0.05 eV/atom. The total magnetic moment is 0.00 μB per atom. For the density of states at the Fermi level, the calculation gives 3.7 states/eV per cell. The distance to the lowest polymorph of the same formula is 0.00 eV/f.u. The space-group type is P-6m2.


Entry 3:
This record from Alexandria via LeMat-Bulk describes a relaxed MnCoAu2 crystal. The functional is GGA-PBE.

a b c (Å): 4.7745 4.7745 3.9948
angles (deg): 114.64 114.64 49.61
Positions (direct):
Mn  0.0000  0.0000  0.0000
Co  0.5000  0.5000  0.5000
Au  0.2505  0.2505  0.7505
Au  0.7495  0.7495  0.2495

Properties
The total magnetic moment is 1.39 μB per atom. For the density of states at the Fermi level, the calculation gives 4.3 states/eV per cell. As for the formation energy: 0.113 eV/atom. The space-group type is C2/m.


Entry 4:
This record from Alexandria via LeMat-Bulk describes a relaxed ScSiBi2 crystal. The functional is GGA-PBE.

a b c (Å): 7.9295 7.9295 7.9295
angles (deg): 129.95 129.95 73.49
Positions (direct):
Sc  0.0000  0.0000  0.0000
Sc  0.7500  0.2500  0.5000
Si  0.2500  0.7500  0.5000
Si  0.5000  0.5000  0.0000
Bi  0.1471  0.6250  0.0221
Bi  0.3750  0.3971  0.5221
Bi  0.6029  0.1250  0.9779
Bi  0.8750  0.8529  0.4779

Properties
The calculation puts the uncorrected formation energy at 0.22 eV/atom. The total magnetic moment is 0.00 μB per atom. For the density of states at the Fermi level, the calculation gives 8.8 states/eV per cell. The space-group type is I-42d.


Entry 5:
This record from Alexandria via LeMat-Bulk describes a relaxed In3SnPb2 crystal. The functional is GGA-PBE.

a b c (Å): 12.8658 12.4621 5.8303
angles (deg): 80.59 72.86 26.56
Positions (direct):
In  0.1797  0.1797  0.8203
In  0.1830  0.6773  0.8170
In  0.3227  0.8170  0.6773
In  0.6773  0.1830  0.3227
In  0.8170  0.3227  0.1830
In  0.8203  0.8203  0.1797
Sn  0.3181  0.3181  0.6819
Sn  0.6819  0.6819  0.3181
Pb  0.2485  0.7515  0.2485
Pb  0.2500  0.2500  0.2500
Pb  0.7500  0.7500  0.7500
Pb  0.7515  0.2485  0.7515

Properties
The total magnetic moment is 0.00 μB per atom. For the density of states at the Fermi level, the calculation gives 5.7 states/eV per cell. The distance to the lowest polymorph of the same formula is 0.28 eV/f.u. As for the formation energy: 0.113 eV/atom. The space-group type is Fmmm.


Entry 6:
This record from Alexandria via LeMat-Bulk describes a relaxed KScCdF6 crystal. The functional is GGA-PBE.

a b c (Å): 7.5526 7.5526 7.5526
angles (deg): 121.70 119.01 89.40
Positions (direct):
K  0.4067  0.1567  0.2500
K  0.5933  0.8433  0.7500
Sc  0.0000  0.5000  0.5000
Sc  0.5000  0.5000  0.0000
Cd  0.0000  0.0000  0.5000
Cd  0.0000  0.5000  0.0000
F  0.1043  0.8543  0.2500
F  0.1589  0.4377  0.3340
F  0.1589  0.8249  0.7212
F  0.1872  0.4372  0.7500
F  0.3963  0.1751  0.8340
F  0.3963  0.5623  0.2212
F  0.6037  0.4377  0.7788
F  0.6037  0.8249  0.1660
F  0.8128  0.5628  0.2500
F  0.8411  0.1751  0.2788
F  0.8411  0.5623  0.6660
F  0.8957  0.1457  0.7500

Properties
The calculation puts the uncorrected formation energy at -3.09 eV/atom. The total magnetic moment is 0.00 μB per atom. For the density of states at the Fermi level, the calculation gives 0.0 states/eV per cell. The space-group type is Imma.